[1]
A plane-wave DFT calculation with PBE was carried out for an optimized crystal structure of Ca2TiPt2.

POSCAR file:
```
Ca2TiPt2
1.0
6.847 0.000 0.000
0.000 6.847 0.000
0.000 0.000 4.661
Ca Ti Pt
4 2 4
Cartesian
1.181 2.243 0.000
2.243 5.667 0.000
4.604 1.181 0.000
5.667 4.604 0.000
0.000 0.000 2.330
3.424 3.424 2.330
0.959 4.383 2.330
2.465 0.959 2.330
4.383 5.889 2.330
5.889 2.465 2.330
```

The total magnetization is 0.000 Bohr magnetons per cell. The raw total energy comes out at -0.202 hartree per atom. For the calculated formation energy, the calculation gives -0.696 eV per atom. As for the space group: P4/mbm. Its density of states at the Fermi level is 2.72 states/eV/f.u.



[2]
A plane-wave DFT calculation with PBE was carried out for an optimized crystal structure of CaTi2ZnPt.

POSCAR file:
```
CaTi2ZnPt
1.0
4.452 0.000 0.000
0.000 4.452 0.000
0.000 0.000 4.801
Ca Ti Zn Pt
1 2 1 1
Cartesian
0.000 0.000 0.000
0.000 2.226 0.000
2.226 0.000 0.000
0.000 0.000 2.400
2.226 2.226 2.400
```

The total magnetization is 0.000 Bohr magnetons per cell. The raw total energy comes out at -0.128 hartree per atom. For the calculated formation energy, the calculation gives 1.545 eV per atom. As for the space group: P4/mmm. Its density of states at the Fermi level is 3.83 states/eV/f.u.



[3]
A plane-wave DFT calculation with PBE was carried out for an optimized crystal structure of Ca2TiZn2Pt5.

POSCAR file:
```
Ca2TiZn2Pt5
1.0
9.937 0.000 0.000
0.000 9.937 0.000
0.000 0.000 3.593
Ca Ti Zn Pt
4 2 4 10
Cartesian
1.723 3.246 0.000
3.246 8.214 0.000
6.691 1.723 0.000
8.214 6.691 0.000
0.000 0.000 0.000
4.968 4.968 0.000
1.263 6.231 0.000
3.706 1.263 0.000
6.231 8.674 0.000
8.674 3.706 0.000
0.000 4.968 1.797
0.603 7.978 1.797
1.959 0.603 1.797
3.009 5.571 1.797
4.366 3.009 1.797
4.968 0.000 1.797
5.571 6.928 1.797
6.928 4.366 1.797
7.978 9.334 1.797
9.334 1.959 1.797
```

The total magnetization is 0.000 Bohr magnetons per cell. The raw total energy comes out at -0.193 hartree per atom. For the calculated formation energy, the calculation gives -0.778 eV per atom. As for the space group: P4/mbm. Its density of states at the Fermi level is 3.42 states/eV/f.u.



[4]
A plane-wave DFT calculation with PBE was carried out for an optimized crystal structure of CaTlPt2.

POSCAR file:
```
CaTlPt2
1.0
4.385 0.000 0.000
0.000 4.385 0.000
0.000 0.000 8.177
Ca Tl Pt
2 2 4
Cartesian
0.000 0.000 0.000
2.192 2.192 4.089
0.000 0.000 4.089
2.192 2.192 0.000
0.000 2.192 2.044
0.000 2.192 6.133
2.192 0.000 2.044
2.192 0.000 6.133
```

The total magnetization is 0.000 Bohr magnetons per cell. The raw total energy comes out at -0.168 hartree per atom. For the calculated formation energy, the calculation gives -0.460 eV per atom. As for the space group: I4/mmm. Its density of states at the Fermi level is 1.82 states/eV/f.u.



[5]
A plane-wave DFT calculation with PBE was carried out for an optimized crystal structure of Ca3TlPt2.

POSCAR file:
```
Ca3TlPt2
1.0
3.567 0.000 0.000
0.000 3.567 0.000
0.000 0.000 11.300
Ca Tl Pt
3 1 2
Cartesian
0.000 0.000 0.000
0.000 0.000 3.344
0.000 0.000 7.956
1.784 1.784 5.650
1.784 1.784 1.700
1.784 1.784 9.600
```

The total magnetization is 0.000 Bohr magnetons per cell. The raw total energy comes out at -0.152 hartree per atom. For the calculated formation energy, the calculation gives -0.731 eV per atom. As for the space group: P4/mmm. Its density of states at the Fermi level is 2.23 states/eV/f.u.



[6]
A plane-wave DFT calculation with PBE was carried out for an optimized crystal structure of CaTlPt.

POSCAR file:
```
CaTlPt
1.0
7.645 0.000 0.000
0.000 4.213 0.000
-0.409 0.000 13.292
Ca Tl Pt
6 6 6
Cartesian
0.206 1.053 1.618
0.989 1.053 5.591
3.159 3.160 10.478
4.077 1.053 2.814
6.248 3.160 7.701
7.030 3.160 11.673
0.611 1.053 9.389
2.620 3.160 0.610
3.562 3.160 5.431
3.674 1.053 7.861
4.617 1.053 12.681
6.625 3.160 3.903
1.766 3.160 3.287
1.687 3.160 7.779
1.593 1.053 12.109
5.643 3.160 1.183
5.550 1.053 5.513
5.471 1.053 10.004
```

The total magnetization is 0.000 Bohr magnetons per cell. The raw total energy comes out at -0.151 hartree per atom. For the calculated formation energy, the calculation gives -0.639 eV per atom. As for the space group: P2_1/m. Its density of states at the Fermi level is 1.20 states/eV/f.u.



[7]
A plane-wave DFT calculation with PBE was carried out for an optimized crystal structure of CaTlPt.

POSCAR file:
```
CaTlPt
1.0
6.797 0.000 0.000
0.000 6.797 0.000
0.000 0.000 6.797
Ca Tl Pt
4 4 4
Cartesian
0.000 0.000 0.000
0.000 3.398 3.398
3.398 0.000 3.398
3.398 3.398 0.000
0.000 0.000 3.398
0.000 3.398 0.000
3.398 0.000 0.000
3.398 3.398 3.398
1.699 1.699 1.699
1.699 5.098 5.098
5.098 1.699 5.098
5.098 5.098 1.699
```

The total magnetization is 0.000 Bohr magnetons per cell. The raw total energy comes out at -0.148 hartree per atom. For the calculated formation energy, the calculation gives -0.571 eV per atom. As for the space group: F-43m. Its density of states at the Fermi level is 1.65 states/eV/f.u.



[8]
A plane-wave DFT calculation with PBE was carried out for an optimized crystal structure of Ca2TlPt.

POSCAR file:
```
Ca2TlPt
1.0
7.335 0.000 0.000
0.000 7.335 0.000
0.000 0.000 7.335
Ca Tl Pt
8 4 4
Cartesian
1.834 1.834 1.834
1.834 1.834 5.502
1.834 5.502 1.834
1.834 5.502 5.502
5.502 1.834 1.834
5.502 1.834 5.502
5.502 5.502 1.834
5.502 5.502 5.502
0.000 0.000 0.000
0.000 3.668 3.668
3.668 0.000 3.668
3.668 3.668 0.000
0.000 0.000 3.668
0.000 3.668 0.000
3.668 0.000 0.000
3.668 3.668 3.668
```

The energy above the lowest structure with this stoichiometry is 86.6 meV/atom. The total magnetization is 0.000 Bohr magnetons per cell. The raw total energy comes out at -0.135 hartree per atom. For the calculated formation energy, the calculation gives -0.570 eV per atom. As for the space group: Fm-3m. Its density of states at the Fermi level is 2.49 states/eV/f.u.